{"formula": "Ni2AgAu", "functional": "GGA-PBEsol", "state": "relaxed", "lattice_angstrom": [[2.725, 0.000, 0.000], [0.000, 3.628, 0.000], [0.000, 0.000, 5.473]], "species": ["Ag", "Au", "Ni", "Ni"], "frac_coords": [[0.500, 0.500, 0.000], [0.500, 0.500, 0.500], [0.000, 0.000, 0.253], [0.000, 0.000, 0.747]], "energy_ev_per_atom": -4.705, "e_form_ev_per_atom": 0.18, "space_group": "No. 47", "magmom_total_mub_per_fu": 0.7}